BaCaSc2: optimized geometry, PBE.

Cell: 12.0943 12.0943 12.0943 Å, 17.22 17.22 17.22°
Atoms (fractional coordinates):
Sc: 0.0028 0.0028 0.0028
Sc: 0.4972 0.4972 0.4972
Ca: 0.7500 0.7500 0.7500
Ba: 0.2500 0.2500 0.2500

Results
* total magnetization: 0.0 μB/cell
* total energy: -3.78 eV/atom
* energy above the most stable polymorph in this dataset: 16.9 kJ per mole of atoms
* ΔH_f (0 K): 371 meV per atom